Entry 1:
LaCeGdTm | GGA-PBE | optimized geometry

Cell lengths 5.7351, 5.7351, 5.7351 Å; angles 60.00, 60.00, 60.00 degrees
Fractional coordinates of all 4 atoms:
La (0.0000, 0.0000, 0.0000)
Ce (0.7500, 0.7500, 0.7500)
Gd (0.5000, 0.5000, 0.5000)
Tm (0.2500, 0.2500, 0.2500)

## Properties
space group = F-43m, No. 216
VASP energy = -28.71 eV for the cell shown
calculated formation energy = 0.1761 eV/atom

=====

Entry 2:
LaCeGdY | GGA-PBE | optimized geometry

Cell lengths 5.7626, 5.7626, 5.7626 Å; angles 60.00, 60.00, 60.00 degrees
Fractional coordinates of all 4 atoms:
La (0.0000, 0.0000, 0.0000)
Ce (0.2500, 0.2500, 0.2500)
Gd (0.5000, 0.5000, 0.5000)
Y (0.7500, 0.7500, 0.7500)

## Properties
space group = F-43m, No. 216
VASP energy = -30.71 eV for the cell shown
calculated formation energy = 0.1744 eV/atom

=====

Entry 3:
LiCe2Gd | GGA-PBE | optimized geometry

Cell lengths 12.4714, 12.4714, 12.4714 Å; angles 15.15, 15.15, 15.15 degrees
Fractional coordinates of all 4 atoms:
Li (0.0000, 0.0000, 0.0000)
Ce (0.0869, 0.0869, 0.0869)
Ce (0.9131, 0.9131, 0.9131)
Gd (0.5000, 0.5000, 0.5000)

## Properties
energy above the most stable polymorph in this dataset = 40 meV per atom
space group = R-3m, No. 166
VASP energy = -26.88 eV for the cell shown
calculated formation energy = 0.2461 eV/atom

=====

Entry 4:
LiCeGd2 | GGA-PBE | optimized geometry

Cell lengths 5.4215, 5.4215, 5.4215 Å; angles 60.00, 60.00, 60.00 degrees
Fractional coordinates of all 4 atoms:
Li (0.0000, 0.0000, 0.0000)
Ce (0.5000, 0.5000, 0.5000)
Gd (0.2500, 0.2500, 0.2500)
Gd (0.7500, 0.7500, 0.7500)

## Properties
energy above the most stable polymorph in this dataset = 136 meV per atom
space group = Fm-3m, No. 225
VASP energy = -35.08 eV for the cell shown
calculated formation energy = 0.2318 eV/atom

=====

Question: Which value of VASP energy does entry 1 give?
Answer: -28.71 eV for the cell shown

=====

Question: Among the records above, which one has the lowest VASP energy?
Answer: LiCeGd2